Entry 1:
5
Lattice="5.1361 0.0000 0.0000 0.0000 5.1361 0.0000 0.0000 0.0000 4.1873" Properties=species:S:1:pos:R:3 comment="PBE HfCoGe2C, optimized geometry" m_tot_mub_per_cell=2.47 delta_e_f_ev_per_atom=1.491 dos_at_fermi_per_ev_fu=9.27 pbc="T T T"
Hf 0.0000 0.0000 0.0000
Co 2.5680 2.5680 2.0936
Ge 0.0000 2.5680 0.0000
Ge 2.5680 0.0000 0.0000
C 0.0000 0.0000 2.0936

=====

Entry 2:
14
Lattice="11.0540 0.0000 0.0000 0.0000 3.7096 0.0000 -3.9217 0.0000 5.6309" Properties=species:S:1:pos:R:3 comment="PBE Nd2Tc2B2C, optimized geometry" m_tot_mub_per_cell=0.00 delta_e_f_ev_per_atom=-0.326 dos_at_fermi_per_ev_fu=3.66 pbc="T T T"
Nd -0.5025 0.0000 1.8390
Nd 2.1078 1.8548 3.7919
Nd 5.0246 1.8548 1.8390
Nd 7.6348 0.0000 3.7919
Tc 1.8719 1.8548 0.5028
Tc -0.2666 0.0000 5.1281
Tc 7.3990 0.0000 0.5028
Tc 5.2604 1.8548 5.1281
B -0.8723 1.8548 4.2563
B 2.4776 0.0000 1.3746
B 4.6547 0.0000 4.2563
B 8.0046 1.8548 1.3746
C 0.0000 1.8548 0.0000
C 5.5270 0.0000 0.0000

=====

Entry 3:
14
Lattice="-4.2836 4.2836 4.3018 4.2836 -4.2836 4.3018 4.2836 4.2836 -4.3018" Properties=species:S:1:pos:R:3 comment="PBE Dy4Ir2Rh, optimized geometry" m_tot_mub_per_cell=0.00 de_polymorph_ev_per_atom=0.0801 delta_e_f_ev_per_atom=-0.761 dos_at_fermi_per_ev_fu=3.78 pbc="T T T"
Dy 3.7203 2.6974 -1.6250
Dy 5.8698 0.5633 0.5259
Dy 0.5633 2.6974 -0.5259
Dy 0.5633 1.5862 2.6768
Dy 1.5862 -0.5633 5.9269
Dy 3.7203 1.5862 3.7760
Dy 2.6974 4.8469 1.6250
Dy -1.5862 3.7203 4.8277
Ir 2.1418 -1.1003 3.2264
Ir 3.1833 2.1418 1.0755
Ir 2.1418 5.3839 -1.0755
Ir 1.1003 2.1418 5.3773
Rh 0.0000 0.0000 0.0000
Rh 0.0000 4.2836 2.1509

=====

Entry 4:
14
Lattice="-4.0913 4.0952 5.7856 4.0913 -4.0952 5.7856 4.0913 4.0952 -5.7856" Properties=species:S:1:pos:R:3 comment="PBE TmAgSnSe4, optimized geometry" m_tot_mub_per_cell=0.00 formation_energy_uncorrected_ev_per_atom=-0.816 dos_at_fermi_per_ev_fu=1.32 pbc="T T T"
Tm 0.0000 0.0000 0.0000
Tm 0.0000 4.0952 0.0000
Ag 4.0913 2.0476 1.3772
Ag 0.0000 2.0476 4.4084
Sn 2.0457 2.0476 -2.8928
Sn 2.0457 -2.0476 2.8928
Se 4.0913 3.9458 -2.9192
Se 4.0913 -0.1494 2.9192
Se 1.9385 2.0476 -0.1433
Se 2.1528 -2.0476 5.6424
Se 1.9385 6.1428 0.1433
Se 2.1528 2.0476 5.9289
Se 0.0000 4.2446 2.8664
Se 0.0000 0.1494 8.7049

=====

Entry 5:
12
Lattice="3.7885 0.0000 0.0000 0.0000 4.9049 0.0000 0.0000 0.0000 10.4156" Properties=species:S:1:pos:R:3 comment="PBE AlSN, optimized geometry" m_tot_mub_per_cell=0.00 formation_energy_uncorrected_ev_per_atom=-0.506 dos_at_fermi_per_ev_fu=0.16 pbc="T T T"
Al 0.0000 0.0000 0.0000
Al 0.0000 2.4524 5.2078
Al 1.8942 0.0000 3.3639
Al 1.8942 2.4524 8.5717
S 0.0000 0.0000 4.9146
S 0.0000 2.4524 10.1224
S 1.8942 0.0000 8.9169
S 1.8942 2.4524 3.7090
N 0.6280 0.0000 1.8470
N 0.6280 2.4524 7.0548
N 3.1605 0.0000 1.8470
N 3.1605 2.4524 7.0548

=====

Entry 6:
6
Lattice="2.7329 0.0000 0.0000 0.0000 2.7329 0.0000 0.0000 0.0000 11.4569" Properties=species:S:1:pos:R:3 comment="PBE CoNiPt4, optimized geometry" m_tot_mub_per_cell=4.16 de_polymorph_ev_per_atom=0.0000 delta_e_f_ev_per_atom=-0.109 dos_at_fermi_per_ev_fu=5.94 pbc="T T T"
Co 0.0000 0.0000 0.0000
Ni 1.3664 1.3664 5.7284
Pt 0.0000 0.0000 3.9314
Pt 0.0000 0.0000 7.5255
Pt 1.3664 1.3664 1.8074
Pt 1.3664 1.3664 9.6494

=====

Entry 7:
24
Lattice="0.0000 6.0511 12.6247 4.3151 0.0000 12.6247 4.3151 6.0511 0.0000" Properties=species:S:1:pos:R:3 comment="PBE Er3Te2Ir, optimized geometry" m_tot_mub_per_cell=0.00 de_polymorph_ev_per_atom=0.0000 formation_energy_uncorrected_ev_per_atom=-1.156 dos_at_fermi_per_ev_fu=2.83 pbc="T T T"
Er 3.0531 1.2911 7.1710
Er 5.7328 4.5383 9.4685
Er 3.4196 1.2911 11.7660
Er 5.5772 4.3166 13.4833
Er 7.8904 7.5639 15.7808
Er 5.2107 4.3166 18.0784
Er 3.4196 7.7856 7.1710
Er 0.7399 4.5383 9.4685
Er 3.0531 7.7856 11.7660
Er 5.2107 10.8111 13.4833
Er 2.8974 7.5639 15.7808
Er 5.5772 10.8111 18.0784
Te 3.2363 4.5383 3.3011
Te 3.2363 4.5383 7.4755
Te 5.3939 7.5639 9.6134
Te 3.2363 4.5383 11.4614
Te 5.3939 7.5639 13.7879
Te 3.2363 4.5383 15.6359
Te 5.3939 7.5639 17.7738
Te 5.3939 7.5639 21.9482
Ir 1.0788 1.5128 1.0547
Ir 1.0788 1.5128 5.2576
Ir 7.5515 10.5894 19.9917
Ir 7.5515 10.5894 24.1946

=====

Entry 8:
16
Lattice="7.2901 0.0000 0.0000 0.0000 7.2901 0.0000 0.0000 0.0000 5.7528" Properties=species:S:1:pos:R:3 comment="PBE ZrMn2Cd, optimized geometry" m_tot_mub_per_cell=22.28 delta_e_f_ev_per_atom=0.589 dos_at_fermi_per_ev_fu=2.97 pbc="T T T"
Zr 0.0000 0.0000 0.0000
Zr 0.0000 3.6450 1.4382
Zr 3.6450 0.0000 4.3146
Zr 3.6450 3.6450 2.8764
Mn 1.8040 1.8225 3.5955
Mn 1.8225 5.4491 5.0337
Mn 1.8225 5.4860 2.1573
Mn 1.8410 1.8225 0.7191
Mn 5.4491 5.4675 0.7191
Mn 5.4675 1.8040 2.1573
Mn 5.4675 1.8410 5.0337
Mn 5.4860 5.4675 3.5955
Cd 0.0000 0.0000 2.8764
Cd 0.0000 3.6450 4.3146
Cd 3.6450 0.0000 1.4382
Cd 3.6450 3.6450 0.0000

=====

Entry 9:
9
Lattice="6.2232 0.0000 0.0000 1.0394 6.1652 0.0000 2.0584 0.6996 7.7458" Properties=species:S:1:pos:R:3 comment="PBE Pr2Nd3Tm4, optimized geometry" m_tot_mub_per_cell=0.00 de_polymorph_ev_per_atom=0.0000 delta_e_f_ev_per_atom=0.021 dos_at_fermi_per_ev_fu=12.03 pbc="T T T"
Pr 2.0771 2.2813 2.5739
Pr 7.2439 4.5835 5.1719
Nd 2.0794 1.2232 6.0237
Nd 3.1116 0.0000 0.0000
Nd 7.2417 5.6416 1.7221
Tm 4.1316 4.0269 6.8780
Tm 4.1568 5.0815 3.4578
Tm 5.1642 1.7833 4.2880
Tm 5.1894 2.8379 0.8677

=====

Entry 10:
16
Lattice="7.4027 0.0000 0.0000 0.0000 7.4027 0.0000 0.0000 0.0000 7.4027" Properties=species:S:1:pos:R:3 comment="PBE Ca2TaTi, optimized geometry" m_tot_mub_per_cell=8.07 de_polymorph_ev_per_atom=0.0000 delta_e_f_ev_per_atom=1.072 dos_at_fermi_per_ev_fu=7.15 pbc="T T T"
Ca 1.8507 1.8507 1.8507
Ca 1.8507 1.8507 5.5521
Ca 1.8507 5.5521 1.8507
Ca 1.8507 5.5521 5.5521
Ca 5.5521 1.8507 1.8507
Ca 5.5521 1.8507 5.5521
Ca 5.5521 5.5521 1.8507
Ca 5.5521 5.5521 5.5521
Ta 0.0000 0.0000 0.0000
Ta 0.0000 3.7014 3.7014
Ta 3.7014 0.0000 3.7014
Ta 3.7014 3.7014 0.0000
Ti 0.0000 0.0000 3.7014
Ti 0.0000 3.7014 0.0000
Ti 3.7014 0.0000 0.0000
Ti 3.7014 3.7014 3.7014

=====

Entry 11:
16
Lattice="8.3628 0.0000 0.0000 0.0000 8.3628 0.0000 0.0000 0.0000 8.3628" Properties=species:S:1:pos:R:3 comment="PBE AcNd2Tm, optimized geometry" m_tot_mub_per_cell=3.86 de_polymorph_ev_per_atom=0.1344 delta_e_f_ev_per_atom=0.169 dos_at_fermi_per_ev_fu=10.35 pbc="T T T"
Ac 0.0000 0.0000 0.0000
Ac 0.0000 4.1814 4.1814
Ac 4.1814 0.0000 4.1814
Ac 4.1814 4.1814 0.0000
Nd 2.0907 2.0907 2.0907
Nd 2.0907 2.0907 6.2721
Nd 2.0907 6.2721 2.0907
Nd 2.0907 6.2721 6.2721
Nd 6.2721 2.0907 2.0907
Nd 6.2721 2.0907 6.2721
Nd 6.2721 6.2721 2.0907
Nd 6.2721 6.2721 6.2721
Tm 0.0000 0.0000 4.1814
Tm 0.0000 4.1814 0.0000
Tm 4.1814 0.0000 0.0000
Tm 4.1814 4.1814 4.1814

=====

Entry 12:
18
Lattice="4.1303 2.3847 5.5683 -4.1303 2.3847 5.5683 0.0000 -4.7693 5.5683" Properties=species:S:1:pos:R:3 comment="PBE Sm2Zn3GaCu12, optimized geometry" m_tot_mub_per_cell=0.00 delta_e_f_ev_per_atom=0.234 dos_at_fermi_per_ev_fu=7.12 pbc="T T T"
Sm 0.0000 0.0000 1.6837
Sm 0.0000 0.0000 15.0212
Zn -2.0652 -1.1923 5.5683
Zn -2.0652 1.1923 11.1366
Zn 0.0000 2.3847 5.5683
Ga 0.0000 0.0000 8.3524
Cu 0.0000 -1.7794 4.1370
Cu -1.5410 0.8897 4.1370
Cu -2.0308 -1.1725 8.0328
Cu 0.0000 -2.3450 8.6720
Cu -2.0308 1.1725 8.6720
Cu 1.5410 0.8897 4.1370
Cu -1.5410 -0.8897 12.5679
Cu 2.0308 -1.1725 8.0328
Cu 0.0000 2.3450 8.0328
Cu 2.0308 1.1725 8.6720
Cu 1.5410 -0.8897 12.5679
Cu 0.0000 1.7794 12.5679

=====

Entry 13:
13
Lattice="4.7480 -8.2664 0.0000 4.7480 8.2664 0.0000 0.0000 0.0000 4.7130" Properties=species:S:1:pos:R:3 comment="PBE Na3Tl8Pd2, optimized geometry" m_tot_mub_per_cell=0.00 delta_e_f_ev_per_atom=-0.086 dos_at_fermi_per_ev_fu=5.48 pbc="T T T"
Na 0.0000 0.0000 0.0000
Na 2.8115 0.0000 2.3565
Na 6.6846 0.0000 2.3565
Tl 2.4676 2.4494 0.0000
Tl 4.7480 6.0287 2.3565
Tl 4.7480 2.7147 2.3565
Tl 2.4676 -2.4494 0.0000
Tl 7.0285 2.4494 0.0000
Tl 4.7480 -2.7147 2.3565
Tl 4.7480 -6.0287 2.3565
Tl 7.0285 -2.4494 0.0000
Pd 4.7480 4.3370 0.0000
Pd 4.7480 -4.3370 0.0000

=====

Entry 14:
16
Lattice="6.6010 0.0000 0.0000 0.0000 6.5320 0.0000 0.0000 0.0000 5.5900" Properties=species:S:1:pos:R:3 comment="PBE CuHg2GeO4, optimized geometry" m_tot_mub_per_cell=0.00 formation_energy_uncorrected_ev_per_atom=-0.687 dos_at_fermi_per_ev_fu=2.17 pbc="T T T"
Cu 0.0000 1.0718 0.0000
Cu 3.3005 5.4602 2.7950
Hg 1.4303 2.0385 3.1146
Hg 1.8702 4.4934 0.3195
Hg 4.7308 4.4934 0.3195
Hg 5.1708 2.0385 3.1146
Ge 0.0000 5.3448 3.1497
Ge 3.3005 1.1872 0.3547
O 0.0000 0.2775 2.1403
O 0.0000 5.6179 4.9476
O 1.5208 4.4302 2.8002
O 1.7797 2.1018 0.0052
O 3.3005 0.9141 2.1526
O 3.3005 6.2545 4.9353
O 4.8213 2.1018 0.0052
O 5.0802 4.4302 2.8002

=====

Entry 15:
10
Lattice="2.9797 0.0000 0.0000 0.0000 2.9797 0.0000 0.0000 0.0000 12.0163" Properties=species:S:1:pos:R:3 comment="PBE Be2AlNi2, optimized geometry" m_tot_mub_per_cell=0.00 de_polymorph_ev_per_atom=0.1922 delta_e_f_ev_per_atom=-0.256 dos_at_fermi_per_ev_fu=1.28 pbc="T T T"
Be 0.0000 1.4898 3.0041
Be 0.0000 1.4898 9.0122
Be 1.4898 0.0000 3.0041
Be 1.4898 0.0000 9.0122
Al 0.0000 0.0000 0.0000
Al 1.4898 1.4898 6.0081
Ni 0.0000 0.0000 4.7026
Ni 0.0000 0.0000 7.3137
Ni 1.4898 1.4898 1.3056
Ni 1.4898 1.4898 10.7107

=====

Entry 16:
5
Lattice="6.8245 0.0000 0.0000 0.0000 6.8245 0.0000 0.0000 0.0000 6.8245" Properties=species:S:1:pos:R:3 comment="PBE K3SnHg, optimized geometry" m_tot_mub_per_cell=1.00 de_polymorph_ev_per_atom=0.1463 delta_e_f_ev_per_atom=0.031 dos_at_fermi_per_ev_fu=2.14 pbc="T T T"
K 0.0000 0.0000 3.4123
K 0.0000 3.4123 0.0000
K 3.4123 0.0000 0.0000
Sn 0.0000 0.0000 0.0000
Hg 3.4123 3.4123 3.4123

=====

Entry 17:
12
Lattice="6.1614 0.0000 0.0000 0.0000 5.4703 0.0000 -0.3406 0.0000 11.8457" Properties=species:S:1:pos:R:3 comment="PBE Dy7Ho3Tm2, optimized geometry" m_tot_mub_per_cell=0.00 de_polymorph_ev_per_atom=0.1970 delta_e_f_ev_per_atom=0.311 dos_at_fermi_per_ev_fu=18.70 pbc="T T T"
Dy 0.0000 0.0000 0.0000
Dy 0.5026 2.7351 1.9863
Dy 1.3108 2.7351 5.3607
Dy 2.6306 0.0000 2.1522
Dy 3.1902 0.0000 9.6935
Dy 4.5099 2.7351 6.4850
Dy 5.3182 2.7351 9.8594
Ho 0.1162 0.0000 7.8376
Ho 3.0807 2.7351 0.0000
Ho 5.7046 0.0000 4.0081
Tm 2.1251 2.7351 8.5528
Tm 3.6957 2.7351 3.2929

=====

Entry 18:
16
Lattice="6.7198 0.0000 0.0000 0.0000 6.7198 0.0000 0.0000 0.0000 6.7198" Properties=species:S:1:pos:R:3 comment="PBE NbSb2Ir, optimized geometry" m_tot_mub_per_cell=0.00 de_polymorph_ev_per_atom=0.0000 formation_energy_uncorrected_ev_per_atom=0.076 dos_at_fermi_per_ev_fu=1.36 pbc="T T T"
Nb 0.0000 0.0000 0.0000
Nb 0.0000 3.3599 3.3599
Nb 3.3599 0.0000 3.3599
Nb 3.3599 3.3599 0.0000
Sb 1.6800 1.6800 1.6800
Sb 1.6800 1.6800 5.0399
Sb 1.6800 5.0399 1.6800
Sb 1.6800 5.0399 5.0399
Sb 5.0399 1.6800 1.6800
Sb 5.0399 1.6800 5.0399
Sb 5.0399 5.0399 1.6800
Sb 5.0399 5.0399 5.0399
Ir 0.0000 0.0000 3.3599
Ir 0.0000 3.3599 0.0000
Ir 3.3599 0.0000 0.0000
Ir 3.3599 3.3599 3.3599

=====

Entry 19:
18
Lattice="-4.4405 4.4405 7.9296 4.4405 -4.4405 7.9296 4.4405 4.4405 -7.9296" Properties=species:S:1:pos:R:3 comment="PBE Pm5PrNd2Tm, optimized geometry" m_tot_mub_per_cell=0.00 delta_e_f_ev_per_atom=0.272 dos_at_fermi_per_ev_fu=13.38 pbc="T T T"
Pm 0.0000 0.0000 0.0000
Pm 6.3085 1.8681 -2.1997
Pm 1.8681 2.5724 -2.1997
Pm 6.3085 1.8681 2.1997
Pm 1.8681 2.5724 2.1997
Pm 0.0000 0.0000 7.9296
Pm 2.5724 1.8681 5.7299
Pm -1.8681 2.5724 5.7299
Pm 2.5724 1.8681 10.1294
Pm -1.8681 2.5724 10.1294
Pr 0.0000 0.0000 3.9648
Pr 0.0000 0.0000 11.8944
Nd 3.3983 1.0421 0.0000
Nd 3.3983 -1.0421 7.9296
Nd 1.0421 5.4826 0.0000
Nd 1.0421 3.3983 7.9296
Tm 4.4405 0.0000 3.9648
Tm 0.0000 4.4405 3.9648

=====

Entry 20:
11
Lattice="4.7103 0.0000 0.0000 0.0000 4.7103 0.0000 0.0000 0.0000 12.6373" Properties=species:S:1:pos:R:3 comment="PBE Pm2AgHg8, optimized geometry" m_tot_mub_per_cell=0.00 de_polymorph_ev_per_atom=0.0000 delta_e_f_ev_per_atom=-0.256 dos_at_fermi_per_ev_fu=8.56 pbc="T T T"
Pm 0.0000 0.0000 2.4359
Pm 0.0000 0.0000 10.2014
Ag 0.0000 0.0000 6.3186
Hg 0.0000 2.3551 0.0000
Hg 0.0000 2.3551 4.6096
Hg 0.0000 2.3551 8.0277
Hg 2.3551 0.0000 0.0000
Hg 2.3551 0.0000 4.6096
Hg 2.3551 0.0000 8.0277
Hg 2.3551 2.3551 2.2144
Hg 2.3551 2.3551 10.4229

=====

Entry 21:
4
Lattice="3.0320 0.0000 0.0000 0.0000 3.7655 0.0000 0.0000 0.0000 6.4073" Properties=species:S:1:pos:R:3 comment="PBE LiIn2Mo, optimized geometry" m_tot_mub_per_cell=0.00 de_polymorph_ev_per_atom=0.0225 delta_e_f_ev_per_atom=0.115 dos_at_fermi_per_ev_fu=2.40 pbc="T T T"
Li 0.0000 0.0000 0.0000
In 1.5160 1.8827 1.5603
In 1.5160 1.8827 4.8470
Mo 0.0000 0.0000 3.2037

=====

Entry 22:
5
Lattice="5.2217 0.0000 0.0000 0.0000 5.2217 0.0000 0.0000 0.0000 4.5314" Properties=species:S:1:pos:R:3 comment="PBE BaPS2Cl, optimized geometry" m_tot_mub_per_cell=0.00 de_polymorph_ev_per_atom=0.9513 formation_energy_uncorrected_ev_per_atom=0.019 dos_at_fermi_per_ev_fu=4.79 pbc="T T T"
Ba 0.0000 0.0000 0.0000
P 2.6109 2.6109 0.0000
S 0.0000 2.6109 2.2657
S 2.6109 0.0000 2.2657
Cl 2.6109 2.6109 2.2657

=====

Entry 23:
4
Lattice="4.2814 0.0000 0.0000 0.0000 4.2814 0.0000 0.0000 0.0000 7.3144" Properties=species:S:1:pos:R:3 comment="PBE BaCd2Cl, optimized geometry" m_tot_mub_per_cell=0.00 de_polymorph_ev_per_atom=0.0376 formation_energy_uncorrected_ev_per_atom=-0.818 dos_at_fermi_per_ev_fu=2.64 pbc="T T T"
Ba 0.0000 0.0000 0.0000
Cd 0.0000 0.0000 3.5461
Cd 2.1407 2.1407 2.8812
Cl 2.1407 2.1407 6.6001